Record 1
The following is a DFT calculation (GGA-PBE) of NdAlZn2Pd2 after structural relaxation.

Values from the calculation:
The calculation puts the total energy at -3.90 eV per atom. The energy relative to the elements is -327 meV per atom. The space group is P4/mmm (123).

a b c (Å): 4.6172 4.6172 5.7462
angles (deg): 90.00 90.00 90.00
Positions (direct):
Nd 0.0000 0.0000 0.5000
Al 0.0000 0.0000 0.0000
Zn 0.5000 0.5000 0.7387
Zn 0.5000 0.5000 0.2613
Pd 0.5000 0.0000 0.0000
Pd 0.0000 0.5000 0.0000



Record 2
The following is a DFT calculation (GGA-PBE) of NdAlZn4Pd2 after structural relaxation.

Values from the calculation:
The calculation puts the total energy at -3.37 eV per atom. The energy relative to the elements is -371 meV per atom. The space group is R-3m (166).

a b c (Å): 4.3378 4.3378 9.1234
angles (deg): 76.25 76.25 60.00
Positions (direct):
Nd 0.0000 0.0000 0.0000
Al 0.5000 0.5000 0.5000
Zn 0.4003 0.4003 0.7992
Zn 0.8728 0.8728 0.3816
Zn 0.1272 0.1272 0.6184
Zn 0.5997 0.5997 0.2008
Pd 0.7685 0.7685 0.6945
Pd 0.2315 0.2315 0.3055



Record 3
The following is a DFT calculation (GGA-PBE) of Nd3AlZn2Pd9 after structural relaxation.

Values from the calculation:
The calculation puts the total energy at -4.93 eV per atom. The energy relative to the elements is -444 meV per atom. The space group is P-3m1 (164).

a b c (Å): 7.2437 7.2437 6.8006
angles (deg): 90.00 90.00 120.00
Positions (direct):
Nd 0.3333 0.6667 0.6698
Nd 0.0000 0.0000 0.0000
Nd 0.6667 0.3333 0.3302
Al 0.0000 0.0000 0.5000
Zn 0.3333 0.6667 0.1710
Zn 0.6667 0.3333 0.8290
Pd 0.8366 0.1634 0.6669
Pd 0.8366 0.6732 0.6669
Pd 0.3268 0.1634 0.6669
Pd 0.6732 0.8366 0.3331
Pd 0.1634 0.3268 0.3331
Pd 0.1634 0.8366 0.3331
Pd 0.5000 0.0000 0.0000
Pd 0.0000 0.5000 0.0000
Pd 0.5000 0.5000 0.0000



- Among the records above, which one has the highest energy relative to the elements?
  NdAlZn2Pd2



- Which formula does entry 1 have?
  NdAlZn2Pd2